(1)
AcLaZnSn: relaxed, PBE-GGA.

Cell and atoms, written as CIF:
```
data_AcLaZnSn
_chemical_formula_sum 'Ac1 La1 Zn1 Sn1'
_space_group_name_H-M_alt 'P 1'
_space_group_IT_number 1
_cell_length_a 5.577
_cell_length_b 5.577
_cell_length_c 5.577
_cell_angle_alpha 60.00
_cell_angle_beta 60.00
_cell_angle_gamma 60.00
loop_
_space_group_symop_operation_xyz
'x,y,z'
loop_
_atom_site_label
_atom_site_fract_x
_atom_site_fract_y
_atom_site_fract_z
_atom_site_occupancy
Zn1 0.750 0.750 0.750 1
Ac1 0.000 0.000 0.000 1
La1 0.500 0.500 0.500 1
Sn1 0.250 0.250 0.250 1
```

Results
space group	F-43m, No. 216

(2)
SrAc8La6: relaxed, PBE-GGA.

Cell and atoms, written as CIF:
```
data_SrAc8La6
_chemical_formula_sum 'Sr1 Ac8 La6'
_space_group_name_H-M_alt 'P 1'
_space_group_IT_number 1
_cell_length_a 9.358
_cell_length_b 9.358
_cell_length_c 9.358
_cell_angle_alpha 67.28
_cell_angle_beta 67.28
_cell_angle_gamma 67.28
loop_
_space_group_symop_operation_xyz
'x,y,z'
loop_
_atom_site_label
_atom_site_fract_x
_atom_site_fract_y
_atom_site_fract_z
_atom_site_occupancy
La1 0.919 0.618 0.342 1
La2 0.081 0.382 0.658 1
La3 0.382 0.658 0.081 1
La4 0.342 0.919 0.618 1
La5 0.658 0.081 0.382 1
La6 0.618 0.342 0.919 1
Ac1 0.580 0.868 0.179 1
Ac2 0.255 0.255 0.255 1
Ac3 0.132 0.821 0.420 1
Ac4 0.179 0.580 0.868 1
Ac5 0.745 0.745 0.745 1
Ac6 0.420 0.132 0.821 1
Ac7 0.821 0.420 0.132 1
Ac8 0.868 0.179 0.580 1
Sr1 0.000 0.000 0.000 1
```

Results
space group	R-3, No. 148

(3)
SrAc6La: relaxed, PBE-GGA.

Cell and atoms, written as CIF:
```
data_SrAc6La
_chemical_formula_sum 'Sr1 Ac6 La1'
_space_group_name_H-M_alt 'P 1'
_space_group_IT_number 1
_cell_length_a 5.644
_cell_length_b 5.644
_cell_length_c 11.239
_cell_angle_alpha 90.00
_cell_angle_beta 90.00
_cell_angle_gamma 90.00
loop_
_space_group_symop_operation_xyz
'x,y,z'
loop_
_atom_site_label
_atom_site_fract_x
_atom_site_fract_y
_atom_site_fract_z
_atom_site_occupancy
Ac1 0.500 0.500 0.000 1
Ac2 0.500 0.500 0.500 1
Ac3 0.500 0.000 0.260 1
Ac4 0.000 0.500 0.740 1
Ac5 0.500 0.000 0.740 1
Ac6 0.000 0.500 0.260 1
Sr1 0.000 0.000 0.000 1
La1 0.000 0.000 0.500 1
```

Results
space group	P4/mmm, No. 123

(4)
SrAc12La5: relaxed, PBE-GGA.

Cell and atoms, written as CIF:
```
data_SrAc12La5
_chemical_formula_sum 'Sr1 Ac12 La5'
_space_group_name_H-M_alt 'P 1'
_space_group_IT_number 1
_cell_length_a 6.854
_cell_length_b 6.854
_cell_length_c 19.282
_cell_angle_alpha 86.61
_cell_angle_beta 86.61
_cell_angle_gamma 119.97
loop_
_space_group_symop_operation_xyz
'x,y,z'
loop_
_atom_site_label
_atom_site_fract_x
_atom_site_fract_y
_atom_site_fract_z
_atom_site_occupancy
Ac1 0.554 0.221 0.338 1
Ac2 0.944 0.602 0.167 1
Ac3 0.888 0.888 0.334 1
Ac4 0.056 0.398 0.833 1
Ac5 0.779 0.446 0.662 1
Ac6 0.112 0.112 0.666 1
Ac7 0.446 0.779 0.662 1
Ac8 0.715 0.715 0.833 1
Ac9 0.285 0.285 0.167 1
Ac10 0.398 0.056 0.833 1
Ac11 0.221 0.554 0.338 1
Ac12 0.602 0.944 0.167 1
Sr1 0.000 0.000 0.000 1
La1 0.167 0.833 0.500 1
La2 0.667 0.333 0.000 1
La3 0.833 0.167 0.500 1
La4 0.500 0.500 0.500 1
La5 0.333 0.667 0.000 1
```

Results
space group	C2/m, No. 12

(5)
SrAc4La7: relaxed, PBE-GGA.

Cell and atoms, written as CIF:
```
data_SrAc4La7
_chemical_formula_sum 'Sr1 Ac4 La7'
_space_group_name_H-M_alt 'P 1'
_space_group_IT_number 1
_cell_length_a 7.747
_cell_length_b 10.289
_cell_length_c 9.646
_cell_angle_alpha 81.46
_cell_angle_beta 90.12
_cell_angle_gamma 41.00
loop_
_space_group_symop_operation_xyz
'x,y,z'
loop_
_atom_site_label
_atom_site_fract_x
_atom_site_fract_y
_atom_site_fract_z
_atom_site_occupancy
Ac1 0.538 0.714 0.333 1
Ac2 0.719 0.780 0.675 1
Ac3 0.462 0.286 0.667 1
Ac4 0.281 0.220 0.325 1
La1 0.029 0.714 0.334 1
La2 0.971 0.286 0.666 1
La3 0.760 0.498 0.996 1
La4 0.240 0.502 0.004 1
La5 0.773 0.227 0.343 1
La6 0.227 0.773 0.657 1
La7 0.500 0.000 0.000 1
Sr1 0.000 0.000 0.000 1
```

Results
space group	P-1, No. 2

(6)
SrAc4La5: relaxed, PBE-GGA.

Cell and atoms, written as CIF:
```
data_SrAc4La5
_chemical_formula_sum 'Sr1 Ac4 La5'
_space_group_name_H-M_alt 'P 1'
_space_group_IT_number 1
_cell_length_a 5.613
_cell_length_b 9.161
_cell_length_c 9.746
_cell_angle_alpha 112.95
_cell_angle_beta 106.74
_cell_angle_gamma 90.00
loop_
_space_group_symop_operation_xyz
'x,y,z'
loop_
_atom_site_label
_atom_site_fract_x
_atom_site_fract_y
_atom_site_fract_z
_atom_site_occupancy
La1 0.500 0.500 0.000 1
La2 0.842 0.305 0.684 1
La3 0.158 0.695 0.316 1
La4 0.808 0.877 0.616 1
La5 0.192 0.123 0.384 1
Ac1 0.969 0.725 0.939 1
Ac2 0.678 0.427 0.357 1
Ac3 0.031 0.275 0.061 1
Ac4 0.322 0.573 0.643 1
Sr1 0.500 0.000 0.000 1
```

Results
space group	C2/m, No. 12

Number 1: magnetization 0.0 Bohr magnetons per cell, DFT formation energy -11.20 kcal/mol of atoms. Number 2: magnetization 0.0 Bohr magnetons per cell, DFT formation energy 5.21 kcal/mol of atoms. Number 3: magnetization 0.0 Bohr magnetons per cell, DFT formation energy 0.88 kcal/mol of atoms. Number 4: magnetization 0.0 Bohr magnetons per cell, DFT formation energy 0.77 kcal/mol of atoms. Number 5: magnetization 0.0 Bohr magnetons per cell, DFT formation energy 1.15 kcal/mol of atoms. Number 6: magnetization 0.0 Bohr magnetons per cell, DFT formation energy 5.98 kcal/mol of atoms.